Crystalline TbHo12Th3 at its relaxed geometry, computed with PBE-GGA.

abc: 5.0078 5.0078 19.9430
angles: 90.00 90.00 90.00
Last column: nearest neighbours and their distance in Å.
Sites, in units of the cell vectors:
Tb 0.0000 0.0000 0.0000  12 Ho 3.54-3.55
Ho 0.0000 0.5000 0.1264  8 Ho 3.51-3.55, 2 Th 3.53, 2 Tb 3.55
Ho 0.0000 0.5000 0.3753  4 Th 3.53, 8 Ho 3.53-3.54
Ho 0.0000 0.5000 0.6247  4 Th 3.53, 8 Ho 3.53-3.54
Ho 0.0000 0.5000 0.8736  8 Ho 3.51-3.55, 2 Th 3.53, 2 Tb 3.55
Ho 0.5000 0.0000 0.1264  8 Ho 3.51-3.55, 2 Th 3.53, 2 Tb 3.55
Ho 0.5000 0.0000 0.3753  4 Th 3.53, 8 Ho 3.53-3.54
Ho 0.5000 0.0000 0.6247  4 Th 3.53, 8 Ho 3.53-3.54
Ho 0.5000 0.0000 0.8736  8 Ho 3.51-3.55, 2 Th 3.53, 2 Tb 3.55
Ho 0.5000 0.5000 0.0000  4 Tb 3.54, 8 Ho 3.55
Ho 0.5000 0.5000 0.2500  8 Ho 3.51-3.54, 4 Th 3.54
Ho 0.5000 0.5000 0.5000  8 Ho 3.53, 4 Th 3.54
Ho 0.5000 0.5000 0.7500  8 Ho 3.51-3.54, 4 Th 3.54
Th 0.0000 0.0000 0.2509  12 Ho 3.53-3.54
Th 0.0000 0.0000 0.5000  12 Ho 3.53-3.54
Th 0.0000 0.0000 0.7491  12 Ho 3.53-3.54

## Properties
As for the volume: 500.1 Å³/cell. The calculation puts the energy at -81.29 eV/f.u. Its space group is No. 123. As for the crystal system: tetragonal.

---

Crystalline Tb6Ho2Th at its relaxed geometry, computed with PBE-GGA.

abc: 7.7333 7.7333 7.7333
angles: 57.01 57.01 57.01
Last column: nearest neighbours and their distance in Å.
Sites, in units of the cell vectors:
Tb 0.1729 0.1729 0.6541  1 Th 3.18, 4 Tb 3.43-3.55, 1 Ho 3.56
Tb 0.1729 0.6541 0.1729  1 Th 3.18, 4 Tb 3.43-3.55, 1 Ho 3.56
Tb 0.3912 0.3912 0.8192  1 Th 2.92, 2 Tb 3.16
Tb 0.3912 0.8192 0.3912  1 Th 2.92, 2 Tb 3.16
Tb 0.6541 0.1729 0.1729  1 Th 3.18, 4 Tb 3.43-3.55, 1 Ho 3.56
Tb 0.8192 0.3912 0.3912  1 Th 2.92, 2 Tb 3.16
Ho 0.6820 0.6820 0.6820  1 Ho 3.37, 9 Tb 3.40-3.70
Ho 0.8561 0.8561 0.8561  1 Ho 3.37, 9 Tb 3.56-3.71
Th 0.1178 0.1178 0.1178  6 Tb 2.92-3.18

## Properties
As for the volume: 304.5 Å³/cell. Its polymorph energy (0 for the lowest one) is 339.6 meV/atom. Its space group is No. 160. As for the crystal system: trigonal.

---

Crystalline TbHo2Th6 at its relaxed geometry, computed with PBE-GGA.

abc: 9.4851 9.4851 8.9505
angles: 103.13 103.13 21.77
Last column: nearest neighbours and their distance in Å.
Sites, in units of the cell vectors:
Tb 0.0000 0.0000 0.0000  4 Ho 3.56, 2 Tb 3.58, 6 Th 3.59-3.61
Ho 0.4068 0.4068 0.6679  8 Th 3.54-3.64, 2 Tb 3.56, 2 Ho 3.58
Ho 0.5932 0.5932 0.3321  8 Th 3.54-3.64, 2 Tb 3.56, 2 Ho 3.58
Th 0.0766 0.0766 0.6640  7 Th 3.50-3.59, 4 Ho 3.54-3.64, 1 Tb 3.61
Th 0.2619 0.2619 0.3336  9 Th 3.50-3.59, 3 Ho 3.54-3.61
Th 0.3330 0.3330 0.9982  1 Ho 3.54, 9 Th 3.55-3.58, 2 Tb 3.59
Th 0.6670 0.6670 0.0018  1 Ho 3.54, 9 Th 3.55-3.58, 2 Tb 3.59
Th 0.7381 0.7381 0.6664  9 Th 3.50-3.59, 3 Ho 3.54-3.61
Th 0.9234 0.9234 0.3360  7 Th 3.50-3.59, 4 Ho 3.54-3.64, 1 Tb 3.61

## Properties
As for the volume: 290.5 Å³/cell. The calculation puts the energy at -57.81 eV/f.u. Its space group is No. 12. As for the crystal system: monoclinic.

---

Crystalline Tb4Ho10Th at its relaxed geometry, computed with PBE-GGA.

abc: 8.6014 8.6014 8.6014
angles: 111.53 111.53 105.43
Last column: nearest neighbours and their distance in Å.
Sites, in units of the cell vectors:
Tb 0.0682 0.6650 0.7332  2 Ho 3.13, 1 Th 3.31, 1 Tb 3.46
Tb 0.3350 0.0682 0.4031  2 Ho 3.13, 1 Th 3.31, 1 Tb 3.46
Tb 0.6650 0.9318 0.5969  2 Ho 3.13, 1 Th 3.31, 1 Tb 3.46
Tb 0.9318 0.3350 0.2668  2 Ho 3.13, 1 Th 3.31, 1 Tb 3.46
Ho 0.1277 0.2254 0.6753  5 Ho 3.14-3.36
Ho 0.2254 0.5500 0.0977  5 Ho 3.14-3.36
Ho 0.2500 0.7500 0.5000  4 Tb 3.13, 4 Ho 3.14
Ho 0.4500 0.5477 0.6753  5 Ho 3.14-3.36
Ho 0.4523 0.1277 0.9023  5 Ho 3.14-3.36
Ho 0.5477 0.8723 0.0977  5 Ho 3.14-3.36
Ho 0.5500 0.4523 0.3247  5 Ho 3.14-3.36
Ho 0.7500 0.2500 0.5000  4 Tb 3.13, 4 Ho 3.14
Ho 0.7746 0.4500 0.9023  5 Ho 3.14-3.36
Ho 0.8723 0.7746 0.3247  5 Ho 3.14-3.36
Th 0.0000 0.0000 0.0000  4 Tb 3.31

## Properties
As for the volume: 488.1 Å³/cell. The calculation puts the energy at -65.81 eV/f.u. Its space group is No. 87. As for the crystal system: tetragonal.

---

Crystalline Tb2Ho6Th3 at its relaxed geometry, computed with PBE-GGA.

abc: 6.1579 6.1579 11.2146
angles: 90.04 90.04 120.03
Last column: nearest neighbours and their distance in Å.
Sites, in units of the cell vectors:
Tb 0.1664 0.8336 0.0000  6 Ho 3.50, 3 Tb 3.55-3.56
Tb 0.8336 0.1664 0.0000  6 Ho 3.50, 3 Tb 3.55-3.56
Ho 0.1684 0.1684 0.2526  3 Th 3.44-3.46, 2 Tb 3.50, 6 Ho 3.53-3.57
Ho 0.1702 0.5007 0.7478  3 Th 3.44-3.46, 2 Tb 3.50, 6 Ho 3.53-3.57
Ho 0.4993 0.8298 0.2522  3 Th 3.44-3.46, 2 Tb 3.50, 6 Ho 3.53-3.57
Ho 0.5007 0.1702 0.7478  3 Th 3.44-3.46, 2 Tb 3.50, 6 Ho 3.53-3.57
Ho 0.8298 0.4993 0.2522  3 Th 3.44-3.46, 2 Tb 3.50, 6 Ho 3.53-3.57
Ho 0.8316 0.8316 0.7474  3 Th 3.44-3.46, 2 Tb 3.50, 6 Ho 3.53-3.57
Th 0.1667 0.8333 0.5000  6 Ho 3.46, 6 Th 3.55-3.56
Th 0.5000 0.5000 0.5000  6 Ho 3.44, 6 Th 3.55-3.56
Th 0.8333 0.1667 0.5000  6 Ho 3.46, 6 Th 3.55-3.56

## Properties
As for the volume: 368.1 Å³/cell. The calculation puts the energy at -57.18 eV/f.u. Its space group is No. 12. As for the crystal system: monoclinic.

---

Crystalline Tb5HoTh4 at its relaxed geometry, computed with PBE-GGA.

abc: 8.6936 8.6936 11.6158
angles: 109.57 109.57 23.15
Last column: nearest neighbours and their distance in Å.
Sites, in units of the cell vectors:
Tb 0.0000 0.0000 0.0000  6 Th 3.35-3.68, 6 Tb 3.49-3.55
Tb 0.2906 0.2906 0.3859  6 Tb 3.49-3.81, 5 Th 3.57-3.71, 2 Ho 3.78
Tb 0.3068 0.3068 0.9142  4 Th 3.35-3.66, 8 Tb 3.49-3.74
Tb 0.6932 0.6932 0.0858  4 Th 3.35-3.66, 8 Tb 3.49-3.74
Tb 0.7094 0.7094 0.6141  6 Tb 3.49-3.81, 5 Th 3.57-3.71, 2 Ho 3.78
Ho 0.0000 0.0000 0.5000  2 Th 3.25, 2 Ho 3.49
Th 0.0980 0.0980 0.7946  1 Ho 3.25, 2 Tb 3.35, 4 Th 3.47-3.49
Th 0.4107 0.4107 0.7051  6 Tb 3.46-3.68, 4 Th 3.47-3.49, 2 Ho 3.68
Th 0.5893 0.5893 0.2949  6 Tb 3.46-3.68, 4 Th 3.47-3.49, 2 Ho 3.68
Th 0.9020 0.9020 0.2054  1 Ho 3.25, 2 Tb 3.35, 4 Th 3.47-3.49

## Properties
As for the volume: 324.4 Å³/cell. The calculation puts the energy at -56.30 eV/f.u. Its space group is No. 12. As for the crystal system: monoclinic.

---

Crystalline TbHoTh2 at its relaxed geometry, computed with PBE-GGA.

abc: 8.8449 17.5440 3.5424
angles: 90.00 98.73 90.00
Last column: nearest neighbours and their distance in Å.
Sites, in units of the cell vectors:
Tb 0.2500 0.2500 0.0000  4 Th 3.37-3.64, 2 Tb 3.54, 2 Ho 3.64
Tb 0.2500 0.7500 0.5000  4 Th 3.37-3.64, 2 Tb 3.54, 2 Ho 3.64
Tb 0.7500 0.2500 0.5000  4 Th 3.37-3.64, 2 Tb 3.54, 2 Ho 3.64
Tb 0.7500 0.7500 0.0000  4 Th 3.37-3.64, 2 Tb 3.54, 2 Ho 3.64
Ho 0.0000 0.0874 0.7500  4 Th 3.31-3.60, 4 Ho 3.54, 2 Tb 3.64
Ho 0.0000 0.9126 0.2500  4 Th 3.31-3.60, 4 Ho 3.54, 2 Tb 3.64
Ho 0.5000 0.4126 0.2500  4 Th 3.31-3.60, 4 Ho 3.54, 2 Tb 3.64
Ho 0.5000 0.5874 0.7500  4 Th 3.31-3.60, 4 Ho 3.54, 2 Tb 3.64
Th 0.1617 0.4164 0.5426  6 Th 3.27-3.54, 2 Ho 3.31-3.60, 2 Tb 3.37-3.64
Th 0.1617 0.5836 0.0426  6 Th 3.27-3.54, 2 Ho 3.31-3.60, 2 Tb 3.37-3.64
Th 0.3383 0.0836 0.4574  6 Th 3.27-3.54, 2 Ho 3.31-3.60, 2 Tb 3.37-3.64
Th 0.3383 0.9164 0.9574  6 Th 3.27-3.54, 2 Ho 3.31-3.60, 2 Tb 3.37-3.64
Th 0.6617 0.0836 0.0426  6 Th 3.27-3.54, 2 Ho 3.31-3.60, 2 Tb 3.37-3.64
Th 0.6617 0.9164 0.5426  6 Th 3.27-3.54, 2 Ho 3.31-3.60, 2 Tb 3.37-3.64
Th 0.8383 0.4164 0.9574  6 Th 3.27-3.54, 2 Ho 3.31-3.60, 2 Tb 3.37-3.64
Th 0.8383 0.5836 0.4574  6 Th 3.27-3.54, 2 Ho 3.31-3.60, 2 Tb 3.37-3.64

## Properties
As for the volume: 543.3 Å³/cell. Its polymorph energy (0 for the lowest one) is 265.5 meV/atom. Its space group is No. 15. As for the crystal system: monoclinic.

---

Crystalline Tb4Ho4Th at its relaxed geometry, computed with PBE-GGA.

abc: 7.9371 7.9371 7.9371
angles: 95.74 95.74 143.13
Last column: nearest neighbours and their distance in Å.
Sites, in units of the cell vectors:
Tb 0.0000 0.3312 0.3312  1 Th 3.53, 6 Ho 3.54-3.57, 5 Tb 3.57-3.60
Tb 0.0000 0.6688 0.6688  1 Th 3.53, 6 Ho 3.54-3.57, 5 Tb 3.57-3.60
Tb 0.3312 0.0000 0.3312  1 Th 3.53, 6 Ho 3.54-3.57, 5 Tb 3.57-3.60
Tb 0.6688 0.0000 0.6688  1 Th 3.53, 6 Ho 3.54-3.57, 5 Tb 3.57-3.60
Ho 0.3355 0.3355 0.6709  4 Ho 3.50-3.59, 2 Th 3.53, 6 Tb 3.54-3.57
Ho 0.3355 0.6645 0.0000  4 Ho 3.50-3.59, 2 Th 3.53, 6 Tb 3.54-3.57
Ho 0.6645 0.3355 0.0000  4 Ho 3.50-3.59, 2 Th 3.53, 6 Tb 3.54-3.57
Ho 0.6645 0.6645 0.3291  4 Ho 3.50-3.59, 2 Th 3.53, 6 Tb 3.54-3.57
Th 0.0000 0.0000 0.0000  4 Tb 3.53, 8 Ho 3.53

## Properties
As for the volume: 284.6 Å³/cell. Its polymorph energy (0 for the lowest one) is 0.0 meV/atom. Its space group is No. 139. As for the crystal system: tetragonal.

---

Crystalline Tb15Ho4Th at its relaxed geometry, computed with PBE-GGA.

abc: 5.0346 5.0346 25.0999
angles: 90.00 90.00 90.00
Last column: nearest neighbours and their distance in Å.
Sites, in units of the cell vectors:
Tb 0.0000 0.0000 0.0000  8 Tb 3.54, 4 Th 3.56
Tb 0.0000 0.0000 0.2013  8 Tb 3.53-3.59, 4 Ho 3.56
Tb 0.0000 0.0000 0.4001  8 Tb 3.55-3.56, 4 Ho 3.56
Tb 0.0000 0.0000 0.5999  8 Tb 3.55-3.56, 4 Ho 3.56
Tb 0.0000 0.0000 0.7987  8 Tb 3.53-3.59, 4 Ho 3.56
Tb 0.0000 0.5000 0.0993  8 Tb 3.54-3.59, 2 Th 3.54, 2 Ho 3.57
Tb 0.0000 0.5000 0.3000  8 Tb 3.53-3.56, 4 Ho 3.55-3.56
Tb 0.0000 0.5000 0.5000  4 Ho 3.55, 8 Tb 3.55-3.56
Tb 0.0000 0.5000 0.7000  8 Tb 3.53-3.56, 4 Ho 3.55-3.56
Tb 0.0000 0.5000 0.9007  8 Tb 3.54-3.59, 2 Th 3.54, 2 Ho 3.57
Tb 0.5000 0.0000 0.0993  8 Tb 3.54-3.59, 2 Th 3.54, 2 Ho 3.57
Tb 0.5000 0.0000 0.3000  8 Tb 3.53-3.56, 4 Ho 3.55-3.56
Tb 0.5000 0.0000 0.5000  4 Ho 3.55, 8 Tb 3.55-3.56
Tb 0.5000 0.0000 0.7000  8 Tb 3.53-3.56, 4 Ho 3.55-3.56
Tb 0.5000 0.0000 0.9007  8 Tb 3.54-3.59, 2 Th 3.54, 2 Ho 3.57
Ho 0.5000 0.5000 0.2001  12 Tb 3.55-3.57
Ho 0.5000 0.5000 0.4001  12 Tb 3.55-3.56
Ho 0.5000 0.5000 0.5999  12 Tb 3.55-3.56
Ho 0.5000 0.5000 0.7999  12 Tb 3.55-3.57
Th 0.5000 0.5000 0.0000  12 Tb 3.54-3.56

## Properties
As for the volume: 636.2 Å³/cell. The calculation puts the energy at -94.74 eV/f.u. Its space group is No. 123. As for the crystal system: tetragonal.

---

Crystalline Tb4Ho19Th6 at its relaxed geometry, computed with PBE-GGA.

abc: 10.7469 10.7469 10.7469
angles: 109.47 109.47 109.47
Last column: nearest neighbours and their distance in Å.
Sites, in units of the cell vectors:
Tb 0.0000 0.0000 0.6437  9 Ho 3.30-3.41
Tb 0.0000 0.6437 0.0000  9 Ho 3.30-3.41
Tb 0.3563 0.3563 0.3563  9 Ho 3.30-3.41
Tb 0.6437 0.0000 0.0000  9 Ho 3.30-3.41
Ho 0.0000 0.0000 0.0000  6 Ho 3.28
Ho 0.0000 0.2641 0.2641  5 Ho 3.28-3.53, 2 Tb 3.30, 2 Th 3.34
Ho 0.0000 0.7359 0.7359  5 Ho 3.28-3.53, 2 Tb 3.30, 2 Th 3.34
Ho 0.0191 0.8081 0.3426  1 Th 3.21, 4 Ho 3.30-3.55, 2 Tb 3.32-3.41
Ho 0.1919 0.2111 0.5346  1 Th 3.21, 4 Ho 3.30-3.55, 2 Tb 3.32-3.41
Ho 0.2111 0.5346 0.1919  1 Th 3.21, 4 Ho 3.30-3.55, 2 Tb 3.32-3.41
Ho 0.2641 0.0000 0.2641  5 Ho 3.28-3.53, 2 Tb 3.30, 2 Th 3.34
Ho 0.2641 0.2641 0.0000  5 Ho 3.28-3.53, 2 Tb 3.30, 2 Th 3.34
Ho 0.3235 0.7889 0.9809  1 Th 3.21, 4 Ho 3.30-3.55, 2 Tb 3.32-3.41
Ho 0.3426 0.0191 0.8081  1 Th 3.21, 4 Ho 3.30-3.55, 2 Tb 3.32-3.41
Ho 0.4654 0.6765 0.6574  1 Th 3.21, 4 Ho 3.30-3.55, 2 Tb 3.32-3.41
Ho 0.5346 0.1919 0.2111  1 Th 3.21, 4 Ho 3.30-3.55, 2 Tb 3.32-3.41
Ho 0.6574 0.4654 0.6765  1 Th 3.21, 4 Ho 3.30-3.55, 2 Tb 3.32-3.41
Ho 0.6765 0.6574 0.4654  1 Th 3.21, 4 Ho 3.30-3.55, 2 Tb 3.32-3.41
Ho 0.7359 0.0000 0.7359  5 Ho 3.28-3.53, 2 Tb 3.30, 2 Th 3.34
Ho 0.7359 0.7359 0.0000  5 Ho 3.28-3.53, 2 Tb 3.30, 2 Th 3.34
Ho 0.7889 0.9809 0.3235  1 Th 3.21, 4 Ho 3.30-3.55, 2 Tb 3.32-3.41
Ho 0.8081 0.3426 0.0191  1 Th 3.21, 4 Ho 3.30-3.55, 2 Tb 3.32-3.41
Ho 0.9809 0.3235 0.7889  1 Th 3.21, 4 Ho 3.30-3.55, 2 Tb 3.32-3.41
Th 0.1295 0.6295 0.5000  4 Ho 3.21-3.34, 1 Th 3.22
Th 0.3705 0.5000 0.8705  4 Ho 3.21-3.34, 1 Th 3.22
Th 0.5000 0.1295 0.6295  4 Ho 3.21-3.34, 1 Th 3.22
Th 0.5000 0.8705 0.3705  4 Ho 3.21-3.34, 1 Th 3.22
Th 0.6295 0.5000 0.1295  4 Ho 3.21-3.34, 1 Th 3.22
Th 0.8705 0.3705 0.5000  4 Ho 3.21-3.34, 1 Th 3.22

## Properties
As for the volume: 955.5 Å³/cell. The calculation puts the energy at -137.75 eV/f.u. Its space group is No. 197. As for the crystal system: cubic.